First-principles (PBE) data for a geometry-optimized Li4Ac2SiSn3 structure, as listed in the Alexandria database.

Output
Energy relative to the elements, uncorrected (meV per atom): -479.7
Calculated volume (Å³/cell): 237
SG: No. 115
E_tot (eV/cell): -38.10

```
Li4Ac2SiSn3
1.0
4.6383 0.0000 0.0000
0.0000 4.6383 0.0000
0.0000 0.0000 10.9972
Sn Ac Li Si
3 2 4 1
Direct
0.0000 0.0000 0.5000 Sn
0.5000 0.0000 0.8696 Sn
0.0000 0.5000 0.1304 Sn
0.5000 0.0000 0.2543 Ac
0.0000 0.5000 0.7457 Ac
0.5000 0.5000 0.0000 Li
0.0000 0.5000 0.3762 Li
0.5000 0.0000 0.6238 Li
0.0000 0.0000 0.0000 Li
0.5000 0.5000 0.5000 Si
```


First-principles (PBE) data for a geometry-optimized SrLi2Ac2Si2 structure, as listed in the Alexandria database.

Output
Energy relative to the elements, uncorrected (meV per atom): -304.8
Calculated volume (Å³/cell): 209
SG: No. 166
E_tot (eV/cell): -26.71

```
SrLi2Ac2Si2
1.0
-2.0863 -1.3520 3.8412
2.4820 -1.1686 3.6618
-0.1618 10.0801 6.1850
Ac Si Li Sr
2 2 2 1
Direct
0.1153 0.1153 0.6540 Ac
0.8847 0.8847 0.3460 Ac
0.7302 0.7302 0.8093 Si
0.2698 0.2698 0.1907 Si
0.6123 0.6123 0.1632 Li
0.3877 0.3877 0.8368 Li
0.0000 0.0000 0.0000 Sr
```